1.
# Er5GaTc2 (PBE, relaxed)
# **Theoretical density**: 9.35 g/cm³
# **D(E_F)**: 18.1 states/eV per cell
# **Total magnetization**: 0.00 μB per formula unit
# **Energy of formation from the pure elements**: -211 meV/atom
data_Er5GaTc2
_chemical_formula_sum 'Er10 Ga2 Tc4'
_space_group_name_H-M_alt 'P 1'
_space_group_IT_number 1
_space_group_name_Hall 'P 1'
_cell_length_a 7.340
_cell_length_b 7.340
_cell_length_c 8.929
_cell_angle_alpha 114.27
_cell_angle_beta 114.27
_cell_angle_gamma 90.00
loop_
_atom_site_label
_atom_site_fract_x
_atom_site_fract_y
_atom_site_fract_z
Er1 0.683 0.183 0.717
Er2 0.034 0.534 0.717
Er3 0.817 0.966 0.283
Er4 0.000 0.000 0.000
Er5 0.317 0.817 0.283
Er6 0.500 0.500 0.000
Er7 0.534 0.683 0.717
Er8 0.466 0.317 0.283
Er9 0.966 0.466 0.283
Er10 0.183 0.034 0.717
Ga1 0.250 0.250 0.500
Ga2 0.750 0.750 0.500
Tc1 0.117 0.383 0.000
Tc2 0.883 0.617 0.000
Tc3 0.617 0.117 0.000
Tc4 0.383 0.883 0.000



2.
# ErGa7Tc2 (PBE, relaxed)
# **Theoretical density**: 6.44 g/cm³
# **D(E_F)**: 7.5 states/eV per cell
# **Total magnetization**: 0.00 μB per formula unit
# **Energy of formation from the pure elements**: -62 meV/atom
data_ErGa7Tc2
_chemical_formula_sum 'Er1 Ga7 Tc2'
_space_group_name_H-M_alt 'P 1'
_space_group_IT_number 1
_space_group_name_Hall 'P 1'
_cell_length_a 4.735
_cell_length_b 6.859
_cell_length_c 6.859
_cell_angle_alpha 99.71
_cell_angle_beta 90.00
_cell_angle_gamma 90.00
loop_
_atom_site_label
_atom_site_fract_x
_atom_site_fract_y
_atom_site_fract_z
Ga1 0.500 0.500 0.500
Ga2 0.500 0.898 0.646
Ga3 0.500 0.102 0.354
Ga4 0.000 0.298 0.702
Ga5 0.000 0.702 0.298
Ga6 0.500 0.354 0.102
Ga7 0.500 0.646 0.898
Tc1 0.500 0.263 0.737
Tc2 0.500 0.737 0.263
Er1 0.000 0.000 0.000



Q: The lowest D(E_F) belongs to which entry?
A: ErGa7Tc2



Q: Which formula does entry 1 have?
A: Er5GaTc2